The following is a PBE calculation of RbP2IrCl after structural relaxation, from Alexandria via LeMat-Bulk.

```
data_RbP2IrCl
_chemical_formula_sum 'Rb1 P2 Ir1 Cl1'
_space_group_name_H-M_alt 'P 4/m m m'
_space_group_IT_number 123
_space_group_name_Hall '-P 4 2'
_cell_length_a 4.462
_cell_length_b 4.462
_cell_length_c 9.821
_cell_angle_alpha 90.00
_cell_angle_beta 90.00
_cell_angle_gamma 90.00
loop_
_atom_site_label
_atom_site_type_symbol
_atom_site_fract_x
_atom_site_fract_y
_atom_site_fract_z
Rb1 Rb 0.000 0.000 0.000
P1 P 0.000 0.500 0.500
Ir1 Ir 0.500 0.500 0.500
Cl1 Cl 0.500 0.500 0.000
```

Formation energy (no corrections) (eV per atom): -0.276
Energy above the lowest structure with this stoichiometry (eV/atom): 0.000